First-principles (PBE) data for a relaxed structure of RbSmIn, as listed in the Open Quantum Materials Database.

Cell lengths 7.994, 7.994, 7.994 Å; angles 90.00, 90.00, 90.00 degrees
Space group F-43m (No. 216)
One atom of each set of equivalent atoms:
Rb1 0.000 0.000 0.000 x4
Sm1 0.000 0.000 0.500 x4
In1 0.250 0.250 0.250 x4

Computed properties:
Polymorph energy (0 for the lowest one) in meV/atom: 0.0
Total magnetization in μB/f.u.: 0.004

First-principles (PBE) data for a relaxed structure of Tb2DyP3, as listed in the Open Quantum Materials Database.

Cell lengths 4.0190, 4.0190, 9.8592 Å; angles 90.00, 90.00, 120.00 degrees
Space group P-3m1 (No. 164)
One atom of each set of equivalent atoms:
Tb1 0.3333 0.6667 0.3331 x2
Dy1 0.0000 0.0000 0.0000 x1
P1 0.0000 0.0000 0.5000 x1
P2 0.3333 0.6667 0.8340 x2

Computed properties:
E_tot in eV for the cell shown: -39.77
Total magnetization in μB/f.u.: 0.002

First-principles (PBE) data for a relaxed structure of Tm2Tc2C3, as listed in the Open Quantum Materials Database.

Cell lengths 11.487, 3.285, 5.619 Å; angles 90.00, 113.05, 90.00 degrees
Space group C2/m (No. 12)
One atom of each set of equivalent atoms:
Tm1 0.110 0.000 0.324 x4
Tc1 0.157 0.500 0.823 x4
C1 0.000 0.500 0.500 x2
C2 0.245 0.500 0.232 x4

Computed properties:
E_tot in eV for the cell shown: -120.12
Total magnetization in μB/f.u.: 0.004

First-principles (PBE) data for a relaxed structure of TaBeSn, as listed in the Open Quantum Materials Database.

Cell lengths 5.924, 5.924, 5.924 Å; angles 90.00, 90.00, 90.00 degrees
Space group F-43m (No. 216)
One atom of each set of equivalent atoms:
Ta1 0.000 0.000 0.000 x4
Be1 0.250 0.250 0.750 x4
Sn1 0.000 0.000 0.500 x4

Computed properties:
Polymorph energy (0 for the lowest one) in meV/atom: 0.0
Total magnetization in μB/f.u.: 0.829

First-principles (PBE) data for a relaxed structure of Rb2UPt3Se6, as listed in the Open Quantum Materials Database.

Cell lengths 10.149, 15.518, 17.602 Å; angles 90.00, 90.00, 90.00 degrees
Space group Fmmm (No. 69)
One atom of each set of equivalent atoms:
Rb1 0.000 0.174 0.000 x8
Rb2 0.250 0.250 0.250 x8
U1 0.000 0.000 0.332 x8
Pt1 0.165 0.000 0.500 x8
Pt2 0.168 0.000 0.163 x16
Se1 0.000 0.111 0.201 x16
Se2 0.189 0.111 0.399 x32

Computed properties:
E_tot in eV for the cell shown: -500.49
Total magnetization in μB/f.u.: 1.998

First-principles (PBE) data for a relaxed structure of Er5InTe4, as listed in the Open Quantum Materials Database.

Cell lengths 9.710, 9.710, 6.119 Å; angles 90.00, 90.00, 90.00 degrees
Space group I4 (No. 79)
One atom of each set of equivalent atoms:
Er1 0.000 0.000 0.000 x2
Er2 0.098 0.290 0.501 x8
In1 0.000 0.000 0.500 x2
Te1 0.095 0.303 0.001 x8

Computed properties:
E_tot in eV for the cell shown: -98.04
Total magnetization in μB/f.u.: 0.002

| no. | V (Å³/atom) |
| --- | --- |
| 1 | 42.56 |
| 2 | 22.99 |
| 3 | 13.93 |
| 4 | 17.33 |
| 5 | 28.88 |
| 6 | 28.85 |